Record 1
! SrGaAsW2 | Alexandria via LeMat-Bulk | GGA-PBE | optimized geometry; values from VASP
! Crystal system   tetragonal
! V   27.7 Å³ per atom
! Formation energy from the elements   3.036 eV/atom
&SYSTEM
  ibrav = 0, nat = 5, ntyp = 4
/
ATOMIC_SPECIES
As 74.92 As.upf
W 183.84 W.upf
Ga 69.72 Ga.upf
Sr 87.62 Sr.upf
ATOMIC_POSITIONS angstrom
As 0.0000 2.6949 0.0000
W 2.5343 0.0000 0.0000
W 0.0000 0.0000 2.5343
Ga 2.5343 2.6949 2.5343
Sr 0.0000 0.0000 0.0000
CELL_PARAMETERS angstrom
5.0685 0.0000 0.0000
0.0000 5.3899 0.0000
0.0000 0.0000 5.0685

Record 2
! YCd2Hg | Alexandria via LeMat-Bulk | GGA-PBE | optimized geometry; values from VASP
! Crystal system   monoclinic
! V   25.3 Å³ per atom
! Formation energy from the elements   -0.132 eV/atom
&SYSTEM
  ibrav = 0, nat = 4, ntyp = 3
/
ATOMIC_SPECIES
Cd 112.41 Cd.upf
Hg 200.59 Hg.upf
Y 88.91 Y.upf
ATOMIC_POSITIONS angstrom
Cd 1.4973 2.6927 0.0716
Cd 0.0000 0.0000 0.0000
Hg 3.5778 0.6671 1.5174
Y -1.3212 3.3912 1.5174
CELL_PARAMETERS angstrom
6.3963 -0.0313 0.0716
-3.4017 5.4168 0.0716
0.7593 1.3655 2.9632

Record 3
! LiSbSeBr2 | Alexandria via LeMat-Bulk | GGA-PBE | optimized geometry; values from VASP
! Formation energy (no corrections)   -421 meV per atom
! Crystal system   tetragonal
! V   34.9 Å³ per atom
&SYSTEM
  ibrav = 0, nat = 5, ntyp = 4
/
ATOMIC_SPECIES
Se 78.96 Se.upf
Sb 121.76 Sb.upf
Li 6.94 Li.upf
Br 79.90 Br.upf
ATOMIC_POSITIONS angstrom
Se -0.1187 1.1987 2.3880
Sb 0.0000 0.0000 0.0000
Li -4.1503 1.3122 2.1306
Br -2.1241 -1.7487 0.7722
Br -1.9074 1.8622 -1.0296
CELL_PARAMETERS angstrom
-3.8148 3.7244 -2.0593
-4.2482 -3.4974 1.5444
-0.2375 2.3975 4.7760

The evaluated total energy for the records listed, in turn: -4.02; -2.28; -2.99 eV per atom.